1.
Here is a relaxed KHgRu2 crystal from Alexandria via LeMat-Bulk. Energies are from PBE-GGA.

```
KHgRu2
1.0
0.0000 3.3632 3.3632
3.3632 0.0000 3.3632
3.3632 3.3632 0.0000
K Hg Ru
1 1 2
direct
0.0000 0.0000 0.0000
0.2500 0.2500 0.2500
0.5000 0.5000 0.5000
0.7500 0.7500 0.7500
```

calculated total energy	-15.380	eV/cell
M_tot	0.758	μB/cell
calculated volume	19.02	A^3/atom
space-group type	F-43m
ΔH_f (0 K)	1.143	eV per atom

2.
Here is a relaxed KHgRu2 crystal from Alexandria via LeMat-Bulk. Energies are from PBE-GGA.

```
KHgRu2
1.0
2.8338 0.0000 0.0000
0.0000 3.7098 0.0000
-0.0410 0.0000 8.2492
K Hg Ru
1 1 2
direct
0.0000 0.0000 0.0000
0.5002 0.5000 0.6717
0.4948 0.5000 0.3132
0.9971 0.0000 0.4370
```

calculated total energy	-18.103	eV/cell
M_tot	0.000	μB/cell
calculated volume	21.68	A^3/atom
space-group type	Pm
ΔH_f (0 K)	0.462	eV per atom

3.
Here is a relaxed KHgRu2 crystal from Alexandria via LeMat-Bulk. Energies are from PBE-GGA.

```
KHgRu2
1.0
2.9661 -4.9805 0.0000
2.9661 4.9805 0.0000
0.0000 0.0000 2.6007
K Hg Ru
1 1 2
direct
0.0000 0.0000 0.0000
0.5000 0.5000 0.0000
0.0000 0.5000 0.5000
0.5000 0.0000 0.5000
```

calculated total energy	-15.389	eV/cell
M_tot	0.351	μB/cell
calculated volume	19.21	A^3/atom
space-group type	Cmmm
ΔH_f (0 K)	1.141	eV per atom

4.
Here is a relaxed KHg3Ru crystal from Alexandria via LeMat-Bulk. Energies are from PBE-GGA.

```
KHg3Ru
1.0
6.1457 0.0000 0.0000
0.0000 6.1457 0.0000
0.0000 0.0000 6.1457
K Hg Ru
1 3 1
direct
0.0000 0.0000 0.0000
0.0000 0.0000 0.5000
0.0000 0.5000 0.0000
0.5000 0.0000 0.0000
0.5000 0.5000 0.5000
```

calculated total energy	-4.858	eV/cell
M_tot	3.024	μB/cell
calculated volume	46.42	A^3/atom
space-group type	Pm-3m
ΔH_f (0 K)	1.284	eV per atom

5.
Here is a relaxed KHgRu2 crystal from Alexandria via LeMat-Bulk. Energies are from PBE-GGA.

```
KHgRu2
1.0
6.2653 -1.4407 0.0000
6.2653 1.4407 0.0000
-3.3815 0.0000 5.5631
K Hg Ru
1 1 2
direct
0.0000 0.0000 0.0000
0.5000 0.5000 0.5000
0.2118 0.2118 0.8259
0.7882 0.7882 0.1741
```

calculated total energy	-16.522	eV/cell
M_tot	0.000	μB/cell
calculated volume	25.11	A^3/atom
space-group type	C2/m
ΔH_f (0 K)	0.857	eV per atom

6.
Here is a relaxed KHgRu2 crystal from Alexandria via LeMat-Bulk. Energies are from PBE-GGA.

```
KHgRu2
1.0
1.4416 0.8323 10.4919
-1.4416 0.8323 10.4919
0.0000 -1.6647 10.4919
K Hg Ru
1 1 2
direct
0.0000 0.0000 0.0000
0.5000 0.5000 0.5000
0.2419 0.2419 0.2419
0.7581 0.7581 0.7581
```

calculated total energy	-15.978	eV/cell
M_tot	1.058	μB/cell
calculated volume	18.88	A^3/atom
space-group type	R-3m
ΔH_f (0 K)	0.993	eV per atom

7.
Here is a relaxed KHgRu crystal from Alexandria via LeMat-Bulk. Energies are from PBE-GGA.

```
KHgRu
1.0
-1.8316 1.8316 5.9908
1.8316 -1.8316 5.9908
1.8316 1.8316 -5.9908
K Hg Ru
1 1 1
direct
0.0000 0.0000 0.0000
0.2811 0.2811 0.0000
0.7202 0.7202 0.0000
```

calculated total energy	-8.544	eV/cell
M_tot	0.602	μB/cell
calculated volume	26.80	A^3/atom
space-group type	I4mm
ΔH_f (0 K)	0.710	eV per atom

8.
Here is a relaxed KHgRu2 crystal from Alexandria via LeMat-Bulk. Energies are from PBE-GGA.

```
KHgRu2
1.0
5.1767 0.0000 0.0000
0.0000 2.8418 0.0000
-1.8269 0.0000 5.1527
K Hg Ru
1 1 2
direct
0.0000 0.0000 0.0000
0.5000 0.5000 0.0000
0.0000 0.5000 0.5000
0.5000 0.0000 0.5000
```

calculated total energy	-15.785	eV/cell
M_tot	2.053	μB/cell
calculated volume	18.95	A^3/atom
space-group type	P2/m
ΔH_f (0 K)	1.041	eV per atom